SmSc2InAu4 | PBE-GGA | relaxed

- Formation energy: -0.690 eV/atom
- Volume: 21.433 A^3/atom
- DFT total energy: -4.8441 eV/atom
- DOS at the Fermi energy: 0.456 states/eV/atom
- Space group: R-3m, No. 166

Cell: 9.1199 9.1199 9.1199 Å, 30.33 30.33 30.33°
Fractional positions:
Sm (0.0000, 0.0000, 0.0000)
Sc (0.2401, 0.2401, 0.2401)
Sc (0.7599, 0.7599, 0.7599)
In (0.5000, 0.5000, 0.5000)
Au (0.1192, 0.1192, 0.1192)
Au (0.3885, 0.3885, 0.3885)
Au (0.6115, 0.6115, 0.6115)
Au (0.8808, 0.8808, 0.8808)